Computed, not measured: MnTc2Ru after structural relaxation at the GGA-PBE level of DFT.

Energy of formation from the pure elements = 0.22 eV/f.u.
Crystal system = tetragonal
Space group = P4/mmm, No. 123
Theoretical density = 10599 kg/m³
Density of states at the Fermi level = 4.25 states/eV/cell
Distance to the lowest polymorph of the same formula = 0 meV per atom

Lattice parameters (Å, degrees): 3.7968 3.7968 3.8258 90.00 90.00 90.00
Closest atoms and distances in Å follow each position.
Sites, in units of the cell vectors:
Mn 0.0000 0.0000 0.0000  4 Ru 2.68, 8 Tc 2.69
Tc 0.0000 0.5000 0.5000  4 Tc 2.68, 4 Mn 2.69, 4 Ru 2.69
Tc 0.5000 0.0000 0.5000  4 Tc 2.68, 4 Mn 2.69, 4 Ru 2.69
Ru 0.5000 0.5000 0.0000  4 Mn 2.68, 8 Tc 2.69